# 1
The following is a PBE calculation of a relaxed structure of Sr2NpO6, from the Alexandria database.

Cell and atoms, written as POSCAR:
```
Sr2NpO6
1.0
6.086 0.000 0.000
0.000 6.086 0.000
0.000 0.000 8.366
Sr Np O
4 2 12
Cartesian
0.000 3.043 2.091
3.043 0.000 2.091
3.043 0.000 6.274
0.000 3.043 6.274
0.000 0.000 0.000
3.043 3.043 4.183
2.262 1.206 4.183
3.823 4.879 4.183
4.249 5.305 0.000
1.206 3.823 4.183
4.879 2.262 4.183
0.780 4.249 0.000
0.000 0.000 1.974
3.043 3.043 2.209
0.000 0.000 6.392
3.043 3.043 6.157
1.836 0.780 0.000
5.305 1.836 0.000
```

Results
- ρ: 5.4 g/cm3
- Relative energy among the computed polymorphs: 56.9 meV per atom

=====

# 2
The following is a PBE calculation of a relaxed structure of Sr5NpO8, from the Alexandria database.

Cell and atoms, written as POSCAR:
```
Sr5NpO8
1.0
-4.539 1.126 -4.617
5.648 -1.891 -2.776
-2.277 -4.719 3.966
Sr Np O
5 1 8
Cartesian
1.882 -1.424 -0.558
0.411 -1.857 -5.343
-1.375 -3.177 -2.709
-3.408 -1.797 -0.325
-3.254 -4.510 1.756
-0.018 -4.203 0.432
1.107 -5.755 1.134
-0.766 -3.833 2.295
-2.936 -1.329 -2.761
-2.614 -4.182 -0.554
0.692 -1.700 -2.945
0.147 -4.880 -1.486
-0.562 -2.345 -0.214
2.523 -3.757 -0.594
```

Results
- ρ: 6.1 g/cm3

=====

# 3
The following is a PBE calculation of a relaxed structure of Sr3Np5O12, from the Alexandria database.

Cell and atoms, written as POSCAR:
```
Sr3Np5O12
1.0
-10.034 5.252 4.469
2.085 -10.444 5.900
9.498 7.470 1.491
Sr Np O
12 20 48
Cartesian
-5.556 0.956 5.750
-6.029 -2.304 8.522
3.738 -1.195 7.033
1.314 2.809 2.414
-6.145 5.158 5.020
-0.085 -2.691 5.736
1.634 4.969 6.124
7.694 -2.880 6.839
0.235 -0.531 9.446
-2.188 3.473 4.827
7.578 4.582 3.338
7.106 1.322 6.109
1.902 -1.393 3.144
1.043 -5.222 2.950
0.000 0.000 0.000
-2.054 0.292 3.337
-0.268 6.361 2.980
-3.975 -2.596 5.184
3.872 -4.375 5.543
1.046 9.170 5.393
-2.661 0.213 7.598
3.622 6.267 3.531
-2.072 -3.988 8.328
0.775 1.139 5.930
-5.017 2.626 2.234
4.749 3.735 0.745
4.210 2.065 4.262
0.503 -6.892 6.466
5.792 -1.487 3.696
-2.322 6.653 6.317
3.604 1.986 8.523
-0.353 3.671 8.716
-6.516 2.614 3.900
1.676 -0.771 5.180
-6.130 3.393 7.015
-3.715 1.585 3.732
2.050 0.744 7.730
-6.866 0.191 8.109
2.387 -3.479 6.799
2.137 -8.208 6.040
2.458 -1.998 9.395
-4.185 -1.067 6.809
-3.444 2.085 6.915
-6.139 -4.906 9.078
5.249 -2.738 5.474
-2.192 -1.664 4.197
4.681 -6.224 6.258
1.677 5.372 3.491
1.484 0.109 1.676
-2.433 -3.849 6.223
-3.539 -3.049 9.573
0.545 -3.048 3.173
5.824 -2.204 8.611
-0.667 -0.235 6.958
-2.346 0.068 9.711
1.418 7.663 6.868
2.217 2.513 4.902
3.896 2.210 2.149
0.132 -5.385 4.991
5.088 5.327 2.286
-4.275 4.482 3.248
1.004 5.326 8.686
3.983 6.127 5.637
-0.128 -3.094 8.368
0.066 2.169 10.184
-3.132 8.502 5.602
-3.700 5.016 6.385
7.689 7.184 2.781
3.741 3.942 7.663
-0.908 4.276 2.465
5.734 3.345 5.051
4.993 0.193 4.945
-0.588 10.486 5.820
-0.838 5.757 5.061
5.264 0.693 8.128
8.415 2.087 3.751
-0.501 1.534 4.130
7.679 -1.115 4.845
-0.126 3.049 6.680
8.066 -0.336 7.960
```

Results
- ρ: 7.8 g/cm3

=====

Number 1: raw formation energy -2.5024 eV/atom. Number 2: raw formation energy -2.6985 eV/atom. Number 3: raw formation energy -2.8544 eV/atom.